1.
Th2TePd | PBE | optimized geometry

Properties
Final energy in Ha/atom: -0.2447
Uncorrected formation energy in eV per formula unit: -3.46

Geometry as POSCAR:
```
Th2TePd
1.0
4.247 0.000 0.000
-2.124 3.678 0.000
0.000 0.000 22.735
Th Te Pd
6 3 3
Cartesian
0.000 0.000 5.437
0.000 0.000 17.298
0.000 2.452 9.720
0.000 2.452 20.594
2.124 1.226 2.141
2.124 1.226 13.016
0.000 0.000 0.000
0.000 2.452 15.157
2.124 1.226 7.578
0.000 0.000 11.368
0.000 2.452 3.789
2.124 1.226 18.946
```

2.
HfInAu | PBE | optimized geometry

Properties
Final energy in Ha/atom: -0.2019
E_form in meV/atom: -171.7

Geometry as POSCAR:
```
HfInAu
1.0
2.287 1.321 7.798
-2.287 1.321 7.798
0.000 -2.641 7.798
Hf In Au
2 2 2
Cartesian
0.000 0.000 1.433
0.000 0.000 21.961
0.000 0.000 4.497
0.000 0.000 18.897
0.000 0.000 7.327
0.000 0.000 16.067
```

3.
LaZrS3 | PBE | optimized geometry

Properties
Final energy in Ha/atom: -0.2586
Uncorrected formation energy in eV per formula unit: -9.32

Geometry as POSCAR:
```
LaZrS3
1.0
8.294 0.000 0.000
0.000 3.851 0.000
0.000 0.000 13.594
La Zr S
4 4 12
Cartesian
0.638 0.963 2.349
3.509 2.889 9.147
4.785 0.963 4.448
7.656 2.889 11.245
1.298 2.889 6.092
2.849 0.963 12.889
5.445 2.889 0.705
6.996 0.963 7.502
0.234 2.889 8.401
1.303 2.889 0.187
1.626 0.963 10.642
2.521 2.889 3.845
2.844 0.963 6.984
3.913 0.963 1.604
4.381 2.889 11.990
5.450 2.889 6.610
5.773 0.963 9.749
6.667 2.889 2.952
6.991 0.963 13.408
8.059 0.963 5.193
```

4.
Hg2Pd2Au | PBE | optimized geometry

Properties
Final energy in Ha/atom: -0.1075
E_form in meV/atom: -71.4

Geometry as POSCAR:
```
Hg2Pd2Au
1.0
7.086 0.000 0.000
0.000 7.086 0.000
0.000 0.000 3.860
Hg Pd Au
4 4 2
Cartesian
1.163 2.380 0.000
2.380 5.923 0.000
4.706 1.163 0.000
5.923 4.706 0.000
0.968 4.511 1.930
2.575 0.968 1.930
4.511 6.118 1.930
6.118 2.575 1.930
0.000 0.000 1.930
3.543 3.543 1.930
```